Below is a relaxed Er4TlOs crystal, with properties calculated at the PBE level.

Its volume is 172 Å³/f.u. Its energy of formation from the pure elements is -188 meV per atom. The calculation puts the energy above the most stable polymorph in this dataset at 143 meV per atom. The value obtained for the total magnetization is 0.0000 μB/atom.

Unit cell a=8.572 b=8.572 c=8.572 alpha=33.65 beta=33.65 gamma=33.65
Sites, in units of the cell vectors:
Er  0.113  0.113  0.113
Er  0.365  0.365  0.365
Er  0.635  0.635  0.635
Er  0.887  0.887  0.887
Tl  0.500  0.500  0.500
Os  0.000  0.000  0.000